First-principles (PBE) data for a relaxed structure of Na2PtO6, as listed in the Alexandria database.

Lattice parameters (Å, degrees): 5.928 5.928 3.878 90.00 90.00 120.00
Each line ends with the local moment (μB).
Atoms (fractional coordinates):
Pt (0.000, 0.000, 0.000)  0.16
O (0.000, 0.732, 0.715)  0.46
O (0.000, 0.268, 0.285)  0.46
O (0.732, 0.732, 0.285)  0.46
O (0.268, 0.000, 0.285)  0.46
O (0.268, 0.268, 0.715)  0.46
Na (0.333, 0.667, 0.000)  0.01
O (0.732, 0.000, 0.715)  0.46
Na (0.667, 0.333, 0.000)  0.01

The calculation puts the total energy at -4.5369 eV/atom. The calculation puts the distance to the lowest polymorph of the same formula at 360.2 meV per atom. The space group is P-31m, No. 162.